{
  "formula": "NbCBr2",
  "functional": "PBE",
  "state": "relaxed",
  "cell": [[0.000, 3.221, 3.221], [3.221, 0.000, 3.221], [3.221, 3.221, 0.000]],
  "species": ["Nb", "C", "Br", "Br"],
  "fractional_positions": [[0.000, 0.000, 0.000], [0.500, 0.500, 0.500], [0.250, 0.250, 0.250], [0.750, 0.750, 0.750]],
  "relative_energy_mev_per_atom": 0.0,
  "spacegroup": "Fm-3m, No. 225",
  "formation_energy_uncorrected_mev_per_atom": 1450
}


{
  "formula": "Nb2CBr2",
  "functional": "PBE",
  "state": "relaxed",
  "cell": [[1.728, 0.998, 10.182], [-1.728, 0.998, 10.182], [0.000, -1.995, 10.182]],
  "species": ["Nb", "Nb", "C", "Br", "Br"],
  "fractional_positions": [[0.134, 0.134, 0.134], [0.866, 0.866, 0.866], [0.500, 0.500, 0.500], [0.264, 0.264, 0.264], [0.736, 0.736, 0.736]],
  "spacegroup": "R-3m, No. 166",
  "formation_energy_uncorrected_mev_per_atom": -743
}


{
  "formula": "Nb2CBr",
  "functional": "PBE",
  "state": "relaxed",
  "cell": [[0.000, 3.063, 3.063], [3.063, 0.000, 3.063], [3.063, 3.063, 0.000]],
  "species": ["Nb", "Nb", "C", "Br"],
  "fractional_positions": [[0.250, 0.250, 0.250], [0.750, 0.750, 0.750], [0.000, 0.000, 0.000], [0.500, 0.500, 0.500]],
  "spacegroup": "Fm-3m, No. 225",
  "formation_energy_uncorrected_mev_per_atom": 797
}


{
  "formula": "NbCBr2",
  "functional": "PBE",
  "state": "relaxed",
  "cell": [[-3.478, 3.478, 3.060], [3.478, -3.478, 3.060], [3.478, 3.478, -3.060]],
  "species": ["Nb", "Nb", "C", "C", "Br", "Br", "Br", "Br"],
  "fractional_positions": [[0.000, 0.000, 0.000], [0.750, 0.250, 0.500], [0.250, 0.750, 0.500], [0.500, 0.500, 0.000], [0.140, 0.125, 0.515], [0.375, 0.860, 0.985], [0.610, 0.625, 0.485], [0.875, 0.390, 0.015]],
  "relative_energy_mev_per_atom": 189.4,
  "spacegroup": "I-42d, No. 122",
  "formation_energy_uncorrected_mev_per_atom": 1639
}


{
  "formula": "NbCS2Br",
  "functional": "PBE",
  "state": "relaxed",
  "cell": [[4.875, 0.000, 0.000], [0.000, 4.875, 0.000], [0.000, 0.000, 4.249]],
  "species": ["Nb", "C", "S", "S", "Br"],
  "fractional_positions": [[0.000, 0.000, 0.000], [0.000, 0.000, 0.500], [0.000, 0.500, 0.000], [0.500, 0.000, 0.000], [0.500, 0.500, 0.500]],
  "relative_energy_mev_per_atom": 0.0,
  "spacegroup": "P4/mmm, No. 123",
  "formation_energy_uncorrected_mev_per_atom": 731
}


{
  "formula": "NbCS2Br",
  "functional": "PBE",
  "state": "relaxed",
  "cell": [[4.218, 0.000, 0.000], [0.000, 4.218, 0.000], [0.000, 0.000, 4.549]],
  "species": ["Nb", "C", "S", "S", "Br"],
  "fractional_positions": [[0.000, 0.000, 0.000], [0.000, 0.000, 0.500], [0.000, 0.500, 0.500], [0.500, 0.000, 0.500], [0.500, 0.500, 0.000]],
  "relative_energy_mev_per_atom": 312.6,
  "spacegroup": "P4/mmm, No. 123",
  "formation_energy_uncorrected_mev_per_atom": 1044
}